Entry 1:
Here is crystalline BaSn3Au2 at its relaxed geometry from Alexandria. Energies are from GGA-PBE.

```
BaSn3Au2
1.0
9.286 -2.416 0.000
9.286 2.416 0.000
-2.714 0.000 10.962
Ba Sn Au
3 9 6
Direct
0.000 0.000 0.000
0.162 0.162 0.709
0.838 0.838 0.291
0.038 0.038 0.348
0.204 0.204 0.368
0.334 0.334 0.044
0.375 0.375 0.797
0.500 0.500 0.500
0.625 0.625 0.203
0.666 0.666 0.956
0.796 0.796 0.632
0.962 0.962 0.652
0.196 0.196 0.106
0.347 0.347 0.519
0.470 0.470 0.212
0.530 0.530 0.788
0.653 0.653 0.481
0.804 0.804 0.894
```

Summary:
DOS(E_F)	6.24	states/eV per cell
offset from the most stable computed form	0	meV per atom
V	27.3	A^3/atom
uncorrected energy	-69.65	eV for the cell shown



Entry 2:
Here is crystalline RbIn2Bi2 at its relaxed geometry from Alexandria. Energies are from GGA-PBE.

```
RbIn2Bi2
1.0
5.584 0.000 0.000
0.000 5.584 0.000
0.000 0.000 11.514
Rb In Bi
2 4 4
Direct
0.000 0.000 0.000
0.500 0.500 0.500
0.000 0.000 0.374
0.000 0.000 0.626
0.500 0.500 0.126
0.500 0.500 0.874
0.000 0.500 0.250
0.000 0.500 0.750
0.500 0.000 0.250
0.500 0.000 0.750
```

Summary:
DOS(E_F)	4.81	states/eV per cell
offset from the most stable computed form	42	meV per atom
V	35.9	A^3/atom
uncorrected energy	-30.12	eV for the cell shown



Entry 3:
Here is crystalline Mg11Cd9Hg4 at its relaxed geometry from Alexandria. Energies are from GGA-PBE.

```
Mg11Cd9Hg4
1.0
7.526 -10.711 0.000
7.526 10.711 0.000
0.000 0.000 3.268
Mg Cd Hg
11 9 4
Direct
0.000 0.000 0.000
0.054 0.411 0.000
0.161 0.839 0.000
0.264 0.264 0.000
0.365 0.635 0.000
0.411 0.054 0.000
0.589 0.946 0.000
0.635 0.365 0.000
0.736 0.736 0.000
0.839 0.161 0.000
0.946 0.589 0.000
0.049 0.209 0.500
0.156 0.635 0.500
0.209 0.049 0.500
0.365 0.844 0.500
0.500 0.500 0.500
0.635 0.156 0.500
0.791 0.951 0.500
0.844 0.365 0.500
0.951 0.791 0.500
0.251 0.444 0.500
0.444 0.251 0.500
0.556 0.749 0.500
0.749 0.556 0.500
```

Summary:
DOS(E_F)	7.20	states/eV per cell
V	22.0	A^3/atom
uncorrected energy	-29.98	eV for the cell shown



Entry 4:
Here is crystalline KNbCl2 at its relaxed geometry from Alexandria. Energies are from GGA-PBE.

```
KNbCl2
1.0
3.519 0.000 0.000
-1.760 3.048 0.000
0.000 0.000 27.724
K Nb Cl
3 3 6
Direct
0.000 0.000 0.000
0.333 0.667 0.667
0.667 0.333 0.333
0.000 0.000 0.500
0.333 0.667 0.167
0.667 0.333 0.833
0.000 0.000 0.412
0.000 0.000 0.588
0.333 0.667 0.078
0.333 0.667 0.255
0.667 0.333 0.745
0.667 0.333 0.922
```

Summary:
DOS(E_F)	5.65	states/eV per cell
offset from the most stable computed form	0	meV per atom
V	24.8	A^3/atom
uncorrected energy	-51.68	eV for the cell shown
formation energy without anion corrections	-0.59	eV per atom



Entry 5:
Here is crystalline PrHo3Tm6 at its relaxed geometry from Alexandria. Energies are from GGA-PBE.

```
PrHo3Tm6
1.0
5.348 -9.504 0.000
5.348 9.504 0.000
0.000 0.000 6.171
Pr Ho Tm
2 6 12
Direct
0.211 0.789 0.500
0.789 0.211 0.000
0.076 0.289 0.742
0.289 0.076 0.242
0.388 0.612 0.599
0.612 0.388 0.099
0.711 0.924 0.742
0.924 0.711 0.242
0.018 0.443 0.339
0.049 0.951 0.778
0.284 0.375 0.195
0.309 0.691 0.061
0.375 0.284 0.695
0.443 0.018 0.839
0.557 0.982 0.339
0.625 0.716 0.195
0.691 0.309 0.561
0.716 0.625 0.695
0.951 0.049 0.278
0.982 0.557 0.839
```

Summary:
DOS(E_F)	24.45	states/eV per cell
offset from the most stable computed form	0	meV per atom
V	31.4	A^3/atom
uncorrected energy	-87.69	eV for the cell shown



Entry 6:
Here is crystalline Na2TlP2 at its relaxed geometry from Alexandria. Energies are from GGA-PBE.

```
Na2TlP2
1.0
4.705 0.000 0.000
0.000 4.705 0.000
0.000 0.000 11.184
Na Tl P
4 2 4
Direct
0.000 0.500 0.250
0.000 0.500 0.750
0.500 0.000 0.250
0.500 0.000 0.750
0.000 0.000 0.000
0.500 0.500 0.500
0.000 0.000 0.406
0.000 0.000 0.594
0.500 0.500 0.094
0.500 0.500 0.906
```

Summary:
DOS(E_F)	5.81	states/eV per cell
offset from the most stable computed form	32	meV per atom
V	24.8	A^3/atom
uncorrected energy	-33.27	eV for the cell shown



Copy entry 2 word for word.
Here is crystalline RbIn2Bi2 at its relaxed geometry from Alexandria. Energies are from GGA-PBE.

```
RbIn2Bi2
1.0
5.584 0.000 0.000
0.000 5.584 0.000
0.000 0.000 11.514
Rb In Bi
2 4 4
Direct
0.000 0.000 0.000
0.500 0.500 0.500
0.000 0.000 0.374
0.000 0.000 0.626
0.500 0.500 0.126
0.500 0.500 0.874
0.000 0.500 0.250
0.000 0.500 0.750
0.500 0.000 0.250
0.500 0.000 0.750
```

Summary:
DOS(E_F)	4.81	states/eV per cell
offset from the most stable computed form	42	meV per atom
V	35.9	A^3/atom
uncorrected energy	-30.12	eV for the cell shown